A plane-wave DFT calculation with PBE+U was carried out for Ce2VO6 after structural relaxation.

abc: 5.4537 5.7998 7.9375
angles: 90.00 96.85 90.00
With the nearest neighbours (Å) after each atom.
Fractional coordinates of all 18 atoms:
Ce 0.9553 0.4169 0.7684  5 O 2.24-2.30
Ce 0.5447 0.9169 0.7316  5 O 2.24-2.30
Ce 0.4553 0.0831 0.2684  5 O 2.24-2.30
Ce 0.0447 0.5831 0.2316  5 O 2.24-2.30
V 0.5000 0.5000 0.0000  6 O 1.87-2.03
V 0.0000 0.0000 0.5000  6 O 1.87-2.03
O 0.8373 0.9113 0.2886  1 V 1.87
O 0.8463 0.7261 0.6083  1 V 2.03, 1 Ce 2.24
O 0.7941 0.6695 0.9496  1 V 1.96
O 0.7059 0.1695 0.5504  1 V 1.96
O 0.6537 0.2261 0.8917  1 V 2.03, 1 Ce 2.24
O 0.6627 0.4113 0.2114  1 V 1.87
O 0.1627 0.0887 0.7114  1 V 1.87
O 0.1537 0.2739 0.3917  1 V 2.03, 1 Ce 2.24
O 0.2059 0.3305 0.0504  1 V 1.96
O 0.2941 0.8305 0.4496  1 V 1.96
O 0.3463 0.7739 0.1083  1 V 2.03, 1 Ce 2.24
O 0.3373 0.5887 0.7886  1 V 1.87

Computed properties:
Symmetry: P2_1/c, No. 14
Energy, eV/atom: -8.31